VASP calculation (GGA-PBE) on a relaxed structure of CaCuAsH.

E, eV per cell: -16.2
Spin magnetization, μB per formula unit: 0.00

Unit cell a=4.146 b=4.146 c=4.216 alpha=90.00 beta=90.00 gamma=120.00
Element x y z (fractional)
Ca 0.000 0.000 0.000
Cu 0.667 0.333 0.544
As 0.333 0.667 0.466
H 0.667 0.333 0.929